Computed, not measured: a geometry-optimized Mg3Cd6Hg structure at the PBE level of DFT.

Energy of formation from the pure elements = -0.042 eV per atom
Density of states at the Fermi level = 0.274 states/eV per atom
Crystal system = triclinic

Cell lengths 3.1632, 5.7123, 25.2336 Å; angles 89.18, 87.43, 84.21 degrees
Space group P-1 (No. 2)
Asymmetric unit:
Mg  0.0000  0.0000  0.0000 (multiplicity 1)
Mg  0.0000  0.5000  0.5000 (multiplicity 1)
Mg  0.0101  0.3986  0.8029 (multiplicity 2)
Mg  0.0785  0.0740  0.6974 (multiplicity 2)
Cd  0.0218  0.7444  0.8942 (multiplicity 2)
Cd  0.2089  0.7512  0.6013 (multiplicity 2)
Cd  0.4084  0.7500  0.4013 (multiplicity 2)
Cd  0.4339  0.4368  0.2967 (multiplicity 2)
Cd  0.4481  0.0833  0.2042 (multiplicity 2)
Cd  0.4825  0.2309  0.9034 (multiplicity 2)
Hg  0.0000  0.0000  0.5000 (multiplicity 1)
Hg  0.0000  0.5000  0.0000 (multiplicity 1)

***

Computed, not measured: a geometry-optimized Sm8TmTl6 structure at the PBE level of DFT.

Energy of formation from the pure elements = -0.151 eV per atom
Density of states at the Fermi level = 1.541 states/eV per atom
Crystal system = trigonal

Cell lengths 9.2460, 9.2460, 19.7395 Å; angles 90.00, 90.00, 120.00 degrees
Space group R-3 (No. 148, hexagonal axes)
Asymmetric unit:
Sm  0.0000  0.0000  0.1657 (multiplicity 6)
Sm  0.0006  0.6654  0.3900 (multiplicity 18)
Tm  0.0000  0.0000  0.5000 (multiplicity 3)
Tl  0.0002  0.3275  0.4394 (multiplicity 18)

***

Computed, not measured: a geometry-optimized Pr12Dy2In structure at the PBE level of DFT.

Energy of formation from the pure elements = 0.226 eV per atom
Density of states at the Fermi level = 1.219 states/eV per atom
Crystal system = tetragonal

Cell lengths 6.7803, 6.7803, 24.0953 Å; angles 90.00, 90.00, 90.00 degrees
Space group P4/nbm (No. 125, origin choice 2)
Asymmetric unit:
Pr  0.0039  0.5039  0.0917 (multiplicity 8)
Pr  0.0836  0.5836  0.5658 (multiplicity 8)
Pr  0.2500  0.2500  0.2000 (multiplicity 4)
Pr  0.2500  0.2500  0.3276 (multiplicity 4)
Dy  0.2500  0.7500  0.2502 (multiplicity 4)
In  0.2500  0.7500  0.0000 (multiplicity 2)

***

Computed, not measured: a geometry-optimized LiTi2MnAg structure at the PBE level of DFT.

Energy of formation from the pure elements = 1.091 eV per atom
Density of states at the Fermi level = 1.610 states/eV per atom
Crystal system = tetragonal

Cell lengths 4.9833, 4.9833, 4.9616 Å; angles 90.00, 90.00, 90.00 degrees
Space group P4/mmm (No. 123)
Asymmetric unit:
Li  0.0000  0.0000  0.0000 (multiplicity 1)
Ti  0.0000  0.5000  0.5000 (multiplicity 2)
Mn  0.5000  0.5000  0.0000 (multiplicity 1)
Ag  0.5000  0.5000  0.5000 (multiplicity 1)

***

Computed, not measured: a geometry-optimized CsSb2RuC structure at the PBE level of DFT.

Raw formation energy = 3.378 eV per atom
Density of states at the Fermi level = 1.262 states/eV per atom
Crystal system = tetragonal

Cell lengths 6.2428, 6.2428, 5.1850 Å; angles 90.00, 90.00, 90.00 degrees
Space group P4/mmm (No. 123)
Asymmetric unit:
Cs  0.0000  0.0000  0.0000 (multiplicity 1)
Sb  0.0000  0.5000  0.0000 (multiplicity 2)
Ru  0.0000  0.0000  0.5000 (multiplicity 1)
C  0.5000  0.5000  0.5000 (multiplicity 1)

***

Computed, not measured: a geometry-optimized In4RuRh2 structure at the PBE level of DFT.

Energy of formation from the pure elements = -0.268 eV per atom
Density of states at the Fermi level = 0.587 states/eV per atom
Crystal system = tetragonal

Cell lengths 6.3612, 6.3612, 6.5449 Å; angles 90.00, 90.00, 90.00 degrees
Space group I4/mmm (No. 139)
Asymmetric unit:
In  0.2500  0.2500  0.2500 (multiplicity 8)
Ru  0.0000  0.0000  0.0000 (multiplicity 2)
Rh  0.0000  0.5000  0.0000 (multiplicity 4)

***

Computed, not measured: a geometry-optimized CaMgRu structure at the PBE level of DFT.

Energy of formation from the pure elements = 1.056 eV per atom
Density of states at the Fermi level = 2.211 states/eV per atom
Crystal system = cubic

Cell lengths 6.6648, 6.6648, 6.6648 Å; angles 90.00, 90.00, 90.00 degrees
Space group F-43m (No. 216)
Asymmetric unit:
Ca  0.0000  0.0000  0.0000 (multiplicity 4)
Mg  0.2500  0.2500  0.2500 (multiplicity 4)
Ru  0.2500  0.2500  0.7500 (multiplicity 4)

***

Computed, not measured: a geometry-optimized KScTa structure at the PBE level of DFT.

Energy of formation from the pure elements = 1.138 eV per atom
Density of states at the Fermi level = 1.698 states/eV per atom
Excess energy over the best structure of this formula in the dataset = 520 meV per atom
Crystal system = hexagonal

Cell lengths 5.5067, 5.5067, 2.8066 Å; angles 90.00, 90.00, 120.00 degrees
Space group P-6m2 (No. 187)
Asymmetric unit:
K  0.0000  0.0000  0.0000 (multiplicity 1)
Sc  0.6667  0.3333  0.0000 (multiplicity 1)
Ta  0.3333  0.6667  0.5000 (multiplicity 1)

***

Computed, not measured: a geometry-optimized Tl3In4Pb4 structure at the PBE level of DFT.

Energy of formation from the pure elements = 0.043 eV per atom
Density of states at the Fermi level = 0.462 states/eV per atom
Excess energy over the best structure of this formula in the dataset = 33 meV per atom
Crystal system = orthorhombic

Cell lengths 9.9597, 5.2656, 13.0840 Å; angles 90.00, 90.00, 90.00 degrees
Space group Amm2 (No. 38)
Asymmetric unit:
Tl  0.0000  0.0000  0.0000 (multiplicity 2)
Tl  0.2641  0.0000  0.1675 (multiplicity 4)
In  0.0000  0.0000  0.3327 (multiplicity 2)
In  0.2718  0.0000  0.8509 (multiplicity 4)
In  0.5000  0.0000  0.3434 (multiplicity 2)
Pb  0.0000  0.0000  0.6937 (multiplicity 2)
Pb  0.2492  0.0000  0.4976 (multiplicity 4)
Pb  0.5000  0.0000  0.6735 (multiplicity 2)

***

Computed, not measured: a geometry-optimized Mg2ScNi structure at the PBE level of DFT.

Energy of formation from the pure elements = -0.219 eV per atom
Density of states at the Fermi level = 0.653 states/eV per atom
Crystal system = monoclinic

Cell lengths 6.2900, 6.2919, 8.3396 Å; angles 90.00, 112.02, 90.00 degrees
Space group C2/m (No. 12)
Asymmetric unit:
Mg  0.1474  0.0000  0.2954 (multiplicity 4)
Mg  0.2500  0.2500  0.0000 (multiplicity 4)
Sc  0.1567  0.5000  0.3129 (multiplicity 4)
Ni  0.0000  0.2508  0.5000 (multiplicity 4)

***

Computed, not measured: a geometry-optimized LiAc2Si3Pt12 structure at the PBE level of DFT.

Raw formation energy = -0.563 eV per atom
Density of states at the Fermi level = 0.337 states/eV per atom
Crystal system = trigonal

Cell lengths 8.2746, 8.2746, 18.2945 Å; angles 90.00, 90.00, 120.00 degrees
Space group R-3m (No. 166, hexagonal axes)
Asymmetric unit:
Li  0.0000  0.0000  0.0000 (multiplicity 3)
Ac  0.0000  0.0000  0.3784 (multiplicity 6)
Si  0.0000  0.5000  0.5000 (multiplicity 9)
Pt  0.0146  0.5073  0.6262 (multiplicity 18)
Pt  0.0293  0.5146  0.8672 (multiplicity 18)

***

Computed, not measured: a geometry-optimized Pa2Pd2Se5 structure at the PBE level of DFT.

Raw formation energy = -0.913 eV per atom
Density of states at the Fermi level = 0.489 states/eV per atom
Crystal system = orthorhombic

Cell lengths 16.4569, 7.3939, 6.8533 Å; angles 90.00, 90.00, 90.00 degrees
Space group Ima2 (No. 46)
Asymmetric unit:
Pa  0.1021  0.0671  0.0000 (multiplicity 8)
Pd  0.0000  0.0000  0.4246 (multiplicity 4)
Pd  0.2500  0.1571  0.7030 (multiplicity 4)
Se  0.0309  0.7223  0.2068 (multiplicity 8)
Se  0.1552  0.0916  0.3910 (multiplicity 8)
Se  0.2500  0.6130  0.4357 (multiplicity 4)

***

Computed, not measured: a geometry-optimized Pu2AgCl8 structure at the PBE level of DFT.

Raw formation energy = -1.459 eV per atom
Density of states at the Fermi level = 1.513 states/eV per atom
Excess energy over the best structure of this formula in the dataset = 0 meV per atom
Crystal system = monoclinic

Cell lengths 8.4542, 11.7813, 5.6755 Å; angles 90.00, 103.37, 90.00 degrees
Space group C2/m (No. 12)
Asymmetric unit:
Pu  0.0000  0.1867  0.0000 (multiplicity 4)
Ag  0.0000  0.5000  0.5000 (multiplicity 2)
Cl  0.0000  0.2851  0.5000 (multiplicity 4)
Cl  0.1061  0.0000  0.2861 (multiplicity 4)
Cl  0.2090  0.3659  0.1104 (multiplicity 8)

***

Computed, not measured: a geometry-optimized Y3Sb2As structure at the PBE level of DFT.

Raw formation energy = -1.268 eV per atom
Density of states at the Fermi level = 0.123 states/eV per atom
Crystal system = tetragonal

Cell lengths 4.3082, 4.3082, 18.2406 Å; angles 90.00, 90.00, 90.00 degrees
Space group I4/mmm (No. 139)
Asymmetric unit:
Y  0.0000  0.0000  0.0000 (multiplicity 2)
Y  0.0000  0.0000  0.3410 (multiplicity 4)
Sb  0.0000  0.0000  0.1684 (multiplicity 4)
As  0.0000  0.0000  0.5000 (multiplicity 2)

***

Computed, not measured: a geometry-optimized MgTa2Si structure at the PBE level of DFT.

Raw formation energy = 0.025 eV per atom
Density of states at the Fermi level = 0.407 states/eV per atom
Crystal system = orthorhombic

Cell lengths 3.9394, 4.0544, 4.2262 Å; angles 90.00, 90.00, 90.00 degrees
Space group Pmmm (No. 47)
Asymmetric unit:
Mg  0.0000  0.0000  0.0000 (multiplicity 1)
Ta  0.0000  0.5000  0.5000 (multiplicity 1)
Ta  0.5000  0.0000  0.5000 (multiplicity 1)
Si  0.5000  0.5000  0.0000 (multiplicity 1)

***

Computed, not measured: a geometry-optimized ScCuIrAu structure at the PBE level of DFT.

Energy of formation from the pure elements = -0.395 eV per atom
Density of states at the Fermi level = 0.307 states/eV per atom
Crystal system = cubic

Cell lengths 6.3666, 6.3666, 6.3666 Å; angles 90.00, 90.00, 90.00 degrees
Space group F-43m (No. 216)
Asymmetric unit:
Sc  0.0000  0.0000  0.0000 (multiplicity 4)
Cu  0.0000  0.0000  0.5000 (multiplicity 4)
Ir  0.2500  0.2500  0.2500 (multiplicity 4)
Au  0.2500  0.2500  0.7500 (multiplicity 4)

***

Computed, not measured: a geometry-optimized Na3CeTi2Se6 structure at the PBE level of DFT.

Raw formation energy = -1.302 eV per atom
Density of states at the Fermi level = 0.698 states/eV per atom
Crystal system = monoclinic

Cell lengths 6.7778, 11.8169, 7.3999 Å; angles 90.00, 108.11, 90.00 degrees
Space group C2/m (No. 12)
Asymmetric unit:
Na  0.0000  0.0000  0.0000 (multiplicity 2)
Na  0.0000  0.3404  0.0000 (multiplicity 4)
Ce  0.0000  0.5000  0.5000 (multiplicity 2)
Ti  0.0000  0.1704  0.5000 (multiplicity 4)
Se  0.2140  0.0000  0.7174 (multiplicity 4)
Se  0.2465  0.1790  0.2794 (multiplicity 8)

***

Computed, not measured: a geometry-optimized Rb2SnI4Br2 structure at the PBE level of DFT.

Raw formation energy = -0.964 eV per atom
Crystal system = monoclinic

Cell lengths 13.9768, 8.2631, 8.4244 Å; angles 90.00, 126.98, 90.00 degrees
Space group C2/m (No. 12)
Asymmetric unit:
Rb  0.2481  0.0000  0.2241 (multiplicity 4)
Sn  0.0000  0.0000  0.5000 (multiplicity 2)
I  0.0303  0.2469  0.2898 (multiplicity 8)
Br  0.2367  0.0000  0.7908 (multiplicity 4)

***

Computed, not measured: a geometry-optimized SrPaZnAs3 structure at the PBE level of DFT.

Energy of formation from the pure elements = -0.852 eV per atom
Crystal system = monoclinic

Cell lengths 8.5703, 4.1729, 9.2162 Å; angles 90.00, 103.78, 90.00 degrees
Space group P2_1/m (No. 11)
Asymmetric unit:
Sr  0.1962  0.2500  0.2355 (multiplicity 2)
Pa  0.3202  0.7500  0.8402 (multiplicity 2)
Zn  0.0880  0.2500  0.5890 (multiplicity 2)
As  0.1023  0.2500  0.8649 (multiplicity 2)
As  0.2289  0.7500  0.5194 (multiplicity 2)
As  0.4529  0.7500  0.1591 (multiplicity 2)

***

Computed, not measured: a geometry-optimized ErPa2B structure at the PBE level of DFT.

Energy of formation from the pure elements = 0.181 eV per atom
Density of states at the Fermi level = 1.662 states/eV per atom
Crystal system = trigonal

Cell lengths 3.3969, 3.3969, 28.4100 Å; angles 90.00, 90.00, 120.00 degrees
Space group R-3m (No. 166, hexagonal axes)
Asymmetric unit:
Er  0.0000  0.0000  0.0000 (multiplicity 3)
Pa  0.0000  0.0000  0.1133 (multiplicity 6)
B  0.0000  0.0000  0.5000 (multiplicity 3)